No. 1
Computed, not measured: a relaxed ZrMo3Ru crystal at the GGA-PBE level of DFT.

Properties
Total magnetic moment (μB per cell): 0.000
Mass density (g cm⁻³): 7.73
ΔE_f (meV/atom): 1200

Cell and atoms, written as POSCAR:
```
ZrMo3Ru
1.0
-0.960 3.778 2.606
-0.208 -2.695 3.831
4.585 0.669 0.719
Mo Ru Zr
3 1 1
direct
0.500 0.000 0.000
0.000 0.000 0.500
0.000 0.500 0.000
0.000 0.000 0.000
0.500 0.500 0.500
```



No. 2
Computed, not measured: a relaxed ZrMoRu2 crystal at the GGA-PBE level of DFT.

Properties
Total magnetic moment (μB per cell): 0.000
Mass density (g cm⁻³): 9.87
ΔE_f (meV/atom): -15

Cell and atoms, written as POSCAR:
```
ZrMoRu2
1.0
-3.895 -1.084 -1.353
-0.488 -1.344 2.479
-2.184 3.986 3.094
Ru Zr Mo
2 1 1
direct
0.000 0.945 0.977
0.000 0.555 0.523
0.500 0.250 0.250
0.500 0.750 0.750
```



No. 3
Computed, not measured: a relaxed ZrMoRu2 crystal at the GGA-PBE level of DFT.

Properties
Total magnetic moment (μB per cell): 0.000
Mass density (g cm⁻³): 9.88
ΔE_f (meV/atom): 10

Cell and atoms, written as POSCAR:
```
ZrMoRu2
1.0
5.157 0.027 0.000
2.232 4.649 0.000
-3.695 -2.338 2.735
Mo Ru Zr
1 2 1
direct
0.750 0.250 0.500
0.000 0.000 0.000
0.250 0.750 0.500
0.500 0.500 0.000
```



No. 4
Computed, not measured: a relaxed Zr2MoRu crystal at the GGA-PBE level of DFT.

Properties
Total magnetic moment (μB per cell): 0.000
Mass density (g cm⁻³): 8.45
ΔE_f (meV/atom): 55

Cell and atoms, written as POSCAR:
```
Zr2MoRu
1.0
-2.303 -1.784 -3.544
-0.979 -4.100 -1.811
-4.970 -1.129 2.287
Ru Zr Mo
1 2 1
direct
0.750 0.750 0.750
0.495 0.495 0.504
0.005 0.005 0.996
0.250 0.250 0.250
```



No. 5
Computed, not measured: a relaxed Zr2MoRu crystal at the GGA-PBE level of DFT.

Properties
Total magnetic moment (μB per cell): 0.000
Mass density (g cm⁻³): 8.34
ΔE_f (meV/atom): 181

Cell and atoms, written as POSCAR:
```
Zr2MoRu
1.0
-5.075 5.997 5.185
-7.329 4.162 4.190
-5.703 3.387 6.678
Zr Mo Ru
2 1 1
direct
0.245 0.245 0.245
0.007 0.007 0.007
0.492 0.492 0.492
0.756 0.756 0.756
```



No. 6
Computed, not measured: a relaxed Zr2MoRu crystal at the GGA-PBE level of DFT.

Properties
Total magnetic moment (μB per cell): 0.000
Mass density (g cm⁻³): 8.42
ΔE_f (meV/atom): 58

Cell and atoms, written as POSCAR:
```
Zr2MoRu
1.0
-5.336 -5.206 -4.313
-2.611 -5.669 -5.935
-3.175 -7.319 -3.246
Zr Mo Ru
2 1 1
direct
0.498 0.498 0.498
0.002 0.002 0.002
0.250 0.250 0.250
0.750 0.750 0.750
```



No. 7
Computed, not measured: a relaxed Zr2MoRu crystal at the GGA-PBE level of DFT.

Properties
Total magnetic moment (μB per cell): 0.000
Mass density (g cm⁻³): 8.56
ΔE_f (meV/atom): -61

Cell and atoms, written as POSCAR:
```
Zr2MoRu
1.0
3.044 0.066 0.000
-0.956 2.891 0.000
0.000 0.000 8.301
Zr Mo Ru
2 1 1
direct
0.000 0.000 0.988
0.000 0.000 0.512
0.500 0.500 0.250
0.500 0.500 0.750
```



No. 8
Computed, not measured: a relaxed ZrMoRu2 crystal at the GGA-PBE level of DFT.

Properties
Total magnetic moment (μB per cell): 0.000
Mass density (g cm⁻³): 9.88
ΔE_f (meV/atom): -37

Cell and atoms, written as POSCAR:
```
ZrMoRu2
1.0
-1.695 -4.114 2.976
3.327 -2.012 3.679
-2.580 4.377 -1.685
Zr Ru Mo
1 2 1
direct
0.497 0.497 0.000
0.744 0.244 0.500
0.014 0.014 0.000
0.245 0.745 0.500
```